[1]
VASP calculation (PBE) on BC after structural relaxation.

Values from the calculation:
VASP energy	-7.466	eV per atom
energy above the lowest structure with this stoichiometry	333.7	meV/atom
total moment	0.000	μB per atom
calculated formation energy	485	meV per atom
crystal system	cubic

Unit cell a=3.7898 b=3.7898 c=3.7898 alpha=90.00 beta=90.00 gamma=90.00
Last column: nearest neighbours and their distance in Å.
Positions (direct):
B: 0.7500 0.7500 0.2500  4 C 1.64
B: 0.2500 0.7500 0.7500  4 C 1.64
B: 0.7500 0.2500 0.7500  4 C 1.64
B: 0.2500 0.2500 0.2500  4 C 1.64
C: 0.5000 0.5000 0.0000  4 B 1.64
C: 0.5000 0.0000 0.5000  4 B 1.64
C: 0.0000 0.5000 0.5000  4 B 1.64
C: 0.0000 0.0000 0.0000  4 B 1.64

---

[2]
VASP calculation (PBE) on B3C after structural relaxation.

Values from the calculation:
VASP energy	-6.904	eV per atom
energy above the lowest structure with this stoichiometry	169.2	meV/atom
total moment	0.000	μB per atom
calculated formation energy	410	meV per atom
crystal system	monoclinic

Unit cell a=6.1480 b=6.1480 c=3.9182 alpha=88.66 beta=91.34 gamma=38.13
Last column: nearest neighbours and their distance in Å.
Positions (direct):
C: 0.8484 0.8484 0.5000  4 B 1.59-1.72
C: 0.6850 0.6850 0.0000  4 B 1.59
C: 0.3388 0.3388 0.0000  4 B 1.54-1.63
B: 0.9775 0.5851 0.8068  3 C 1.54-1.59
B: 0.6552 0.1755 0.7679  2 C 1.63-1.72, 1 B 1.83
B: 0.5210 0.5210 0.5000  4 B 1.67-1.84
B: 0.8004 0.3785 0.2077  1 C 1.59, 2 B 1.66-1.67
B: 0.5851 0.9775 0.1932  3 C 1.54-1.59
B: 0.0118 0.0118 0.5000  8 B 1.81-2.01, 1 C 1.90
B: 0.3785 0.8004 0.7923  1 C 1.59, 2 B 1.66-1.67
B: 0.0227 0.0227 0.0000  4 B 1.66-1.83
B: 0.1755 0.6552 0.2321  2 C 1.63-1.72, 1 B 1.83

---

Among the records above, which one has the lowest energy above the lowest structure with this stoichiometry? B3C